This record from Alexandria via LeMat-Bulk describes a relaxed Nd3Tl2In4 crystal. The functional is PBE.

Cell: 8.039 8.039 4.522 Å, 90.00 90.00 120.00°
Element x y z (fractional)
Nd (0.000, 0.603, 0.000)
Nd (0.397, 0.397, 0.000)
Nd (0.603, 0.000, 0.000)
Tl (0.333, 0.667, 0.500)
Tl (0.667, 0.333, 0.500)
In (0.000, 0.000, 0.000)
In (0.000, 0.255, 0.500)
In (0.255, 0.000, 0.500)
In (0.745, 0.745, 0.500)

Calculated values
E: -33.26 eV for the cell shown
SG: P-62m (189)
calculated formation energy: -0.364 eV per atom

This record from Alexandria via LeMat-Bulk describes a relaxed PrNdGe2 crystal. The functional is PBE.

Cell: 4.884 4.884 4.190 Å, 90.00 90.00 90.00°
Element x y z (fractional)
Pr (0.000, 0.000, 0.000)
Nd (0.500, 0.500, 0.000)
Ge (0.000, 0.500, 0.500)
Ge (0.500, 0.000, 0.500)

Calculated values
distance to the lowest polymorph of the same formula: 226 meV/atom
E: -21.25 eV for the cell shown
SG: P4/mmm (123)
calculated formation energy: -0.617 eV per atom

This record from Alexandria via LeMat-Bulk describes a relaxed ErZnHg2 crystal. The functional is PBE.

Cell: 10.587 10.587 4.851 Å, 90.00 90.00 161.00°
Element x y z (fractional)
Er (0.097, 0.903, 0.750)
Er (0.903, 0.097, 0.250)
Zn (0.337, 0.663, 0.750)
Zn (0.663, 0.337, 0.250)
Hg (0.276, 0.724, 0.250)
Hg (0.463, 0.537, 0.750)
Hg (0.537, 0.463, 0.250)
Hg (0.724, 0.276, 0.750)

Calculated values
E: -15.02 eV for the cell shown
SG: Cmcm (63)
calculated formation energy: -0.267 eV per atom

Repeat the third record exactly.
This record from Alexandria via LeMat-Bulk describes a relaxed ErZnHg2 crystal. The functional is PBE.

Cell: 10.587 10.587 4.851 Å, 90.00 90.00 161.00°
Element x y z (fractional)
Er (0.097, 0.903, 0.750)
Er (0.903, 0.097, 0.250)
Zn (0.337, 0.663, 0.750)
Zn (0.663, 0.337, 0.250)
Hg (0.276, 0.724, 0.250)
Hg (0.463, 0.537, 0.750)
Hg (0.537, 0.463, 0.250)
Hg (0.724, 0.276, 0.750)

Calculated values
E: -15.02 eV for the cell shown
SG: Cmcm (63)
calculated formation energy: -0.267 eV per atom

> Which value of calculated formation energy does entry 2 give?

-0.617 eV per atom